1.
Entry from the Alexandria database: a relaxed Te2P2O9 crystal (PBE).

Computed properties:
Formation energy without anion corrections in eV per atom: -1.6372
Crystal system: monoclinic
Total energy in Ry per atom: -0.4693
Magnetic moment in μB per cell: 0.00

Unit cell a=7.464 b=7.464 c=9.811 alpha=94.62 beta=94.62 gamma=137.31
Fractional positions:
Te (0.033, 0.967, 0.500)
Te (0.052, 0.476, 0.259)
Te (0.476, 0.052, 0.759)
Te (0.967, 0.033, 0.000)
P (0.281, 0.650, 0.964)
P (0.426, 0.620, 0.553)
P (0.620, 0.426, 0.053)
P (0.650, 0.281, 0.464)
O (0.051, 0.338, 0.909)
O (0.155, 0.939, 0.671)
O (0.203, 0.770, 0.892)
O (0.297, 0.365, 0.609)
O (0.316, 0.719, 0.607)
O (0.317, 0.705, 0.125)
O (0.338, 0.051, 0.409)
O (0.356, 0.551, 0.390)
O (0.365, 0.297, 0.109)
O (0.550, 0.784, 0.924)
O (0.551, 0.356, 0.890)
O (0.705, 0.317, 0.625)
O (0.719, 0.316, 0.107)
O (0.738, 0.847, 0.609)
O (0.770, 0.203, 0.392)
O (0.784, 0.550, 0.424)
O (0.847, 0.738, 0.109)
O (0.939, 0.155, 0.171)

2.
Entry from the Alexandria database: a relaxed Ba3Ca2Mg2 crystal (PBE).

Computed properties:
Crystal system: orthorhombic
Total energy in Ry per atom: -0.1301
Magnetic moment in μB per cell: 0.00
ΔE_f in eV per atom: 0.08

Unit cell a=13.508 b=13.508 c=3.964 alpha=90.00 beta=90.00 gamma=154.82
Fractional positions:
Ba (0.000, 0.000, 0.000)
Ba (0.143, 0.857, 0.000)
Ba (0.857, 0.143, 0.000)
Ca (0.290, 0.710, 0.500)
Ca (0.710, 0.290, 0.500)
Mg (0.430, 0.570, 0.500)
Mg (0.570, 0.430, 0.500)